A plane-wave DFT calculation with PBE-GGA was carried out for TaOs2Se after structural relaxation. Values from VASP.

Geometry as Quantum ESPRESSO input:
```
&SYSTEM
  ibrav = 0, nat = 8, ntyp = 3
/
ATOMIC_SPECIES
Ta 180.95 Ta.upf
Os 190.23 Os.upf
Se 78.96 Se.upf
CELL_PARAMETERS angstrom
3.8670 0.0000 0.0000
0.0000 3.8670 0.0000
0.0000 0.0000 8.4941
ATOMIC_POSITIONS angstrom
Ta 0.0000 0.0000 0.0000
Ta 1.9335 1.9335 4.2470
Os 0.0000 0.0000 4.2470
Os 0.0000 1.9335 6.3705
Os 1.9335 0.0000 2.1235
Os 1.9335 1.9335 0.0000
Se 0.0000 1.9335 2.1235
Se 1.9335 0.0000 6.3705
```

Electronic total energy ... -8.9562 eV/atom
Crystal system ... tetragonal
Energy relative to the elements, uncorrected ... 1.97 eV per formula unit
Symmetry ... No. 119
Magnetization ... 0.000 μB per formula unit

---

A plane-wave DFT calculation with PBE-GGA was carried out for TaOsSe after structural relaxation. Values from VASP.

Geometry as Quantum ESPRESSO input:
```
&SYSTEM
  ibrav = 0, nat = 6, ntyp = 3
/
ATOMIC_SPECIES
Ta 180.95 Ta.upf
Os 190.23 Os.upf
Se 78.96 Se.upf
CELL_PARAMETERS angstrom
1.5795 0.9119 12.6243
-1.5795 0.9119 12.6243
0.0000 -1.8239 12.6243
ATOMIC_POSITIONS angstrom
Ta 0.0000 0.0000 0.0000
Ta 0.0000 0.0000 10.2768
Os 0.0000 0.0000 18.5938
Os 0.0000 0.0000 27.1211
Se 0.0000 0.0000 21.1045
Se 0.0000 0.0000 29.6519
```

Electronic total energy ... -8.6819 eV/atom
Crystal system ... trigonal
Energy relative to the elements, uncorrected ... 0.52 eV per formula unit
Symmetry ... No. 160
Magnetization ... 0.000 μB per formula unit

---

A plane-wave DFT calculation with PBE-GGA was carried out for TaOs2Se after structural relaxation. Values from VASP.

Geometry as Quantum ESPRESSO input:
```
&SYSTEM
  ibrav = 0, nat = 8, ntyp = 3
/
ATOMIC_SPECIES
Ta 180.95 Ta.upf
Os 190.23 Os.upf
Se 78.96 Se.upf
CELL_PARAMETERS angstrom
2.9959 0.0000 0.0000
0.0000 4.8032 0.0000
0.0000 0.0000 9.0681
ATOMIC_POSITIONS angstrom
Ta 0.0000 0.0000 0.0000
Ta 1.4979 2.4016 0.0000
Os 0.0000 0.0000 4.4200
Os 0.0000 2.4016 2.2511
Os 1.4979 0.0000 2.2511
Os 1.4979 2.4016 4.4200
Se 0.0000 2.4016 6.8004
Se 1.4979 0.0000 6.8004
```

Electronic total energy ... -8.7996 eV/atom
Crystal system ... orthorhombic
Energy relative to the elements, uncorrected ... 2.60 eV per formula unit
Symmetry ... No. 35
Magnetization ... 0.000 μB per formula unit

---

no.,Fermi-level density of states (states/eV/cell)
1,6.1
2,4.3
3,10.1